GdHoGe2Pt: optimized geometry, PBE.

Summary:
DFT total energy   -5.92 eV per atom

Lattice parameters (Å, degrees): 5.6967 5.6967 10.4379 115.31 115.31 44.90
Positions (direct):
Pt  0.7265  0.7265  0.8330
Pt  0.2735  0.2735  0.1671
Ge  0.4739  0.4739  0.6115
Ge  0.5261  0.5261  0.3885
Ge  0.6446  0.6446  0.0527
Ge  0.3554  0.3554  0.9473
Gd  0.0090  0.0090  0.8277
Gd  0.9910  0.9910  0.1723
Ho  0.8121  0.8121  0.3859
Ho  0.1879  0.1879  0.6141